Record 1
Here is a relaxed SmPdRh crystal from the Alexandria database. Energies are from PBE.

Cell: 5.401 5.454 7.710 Å, 90.00 90.00 90.00°
Space group Imma (No. 74)
Unique sites:
Sm1 0.000 0.250 0.127
Pd1 0.250 0.250 0.750
Rh1 0.000 0.000 0.500

## Properties
VASP energy = -6.458 eV/atom
energy relative to the lowest polymorph listed for this composition = 0.0 meV per atom
crystal system = orthorhombic
formation energy = -0.704 eV/atom
total magnetization = 0.0 μB per cell

***

Record 2
Here is a relaxed Sm6Pd2Rh crystal from the Alexandria database. Energies are from PBE.

Cell: 6.649 7.461 12.048 Å, 90.00 121.06 90.00°
Space group P2_1/c (No. 14)
Unique sites:
Sm1 0.094 0.185 0.432
Sm2 0.257 0.674 0.429
Sm3 0.401 0.041 0.247
Pd1 0.174 0.116 0.736
Rh1 0.500 0.000 0.500

## Properties
VASP energy = -5.645 eV/atom
crystal system = monoclinic
formation energy = -0.528 eV/atom
total magnetization = 0.0 μB per cell

***

Record 3
Here is a relaxed Sm8PdRh2 crystal from the Alexandria database. Energies are from PBE.

Cell: 8.398 12.747 6.257 Å, 90.00 108.80 90.00°
Space group Cm (No. 8)
Unique sites:
Sm1 0.000 0.000 0.000
Sm2 0.077 0.368 0.798
Sm3 0.152 0.132 0.583
Sm4 0.225 0.500 0.372
Sm5 0.366 0.215 0.188
Pd1 0.358 0.000 0.010
Rh1 0.363 0.312 0.684

## Properties
VASP energy = -5.599 eV/atom
crystal system = monoclinic
formation energy = -0.358 eV/atom
total magnetization = 0.0 μB per cell

***

Which formula does entry 1 have? SmPdRh